Entry from OQMD via LeMat-Bulk: a relaxed ScCo2Ge crystal (GGA-PBE).

Lattice parameters (Å, degrees): 6.0742 6.0742 6.0742 90.00 90.00 90.00
Last column: nearest neighbours and their distance in Å.
Space group F-43m (No. 216)
Unique sites:
Sc (0.0000, 0.0000, 0.0000) (multiplicity 4)  4 Ge 2.63, 4 Co 2.63
Co (0.0000, 0.0000, 0.5000) (multiplicity 4)  4 Ge 2.63, 4 Co 2.63
Co (0.2500, 0.2500, 0.7500) (multiplicity 4)  4 Co 2.63, 4 Sc 2.63
Ge (0.2500, 0.2500, 0.2500) (multiplicity 4)  4 Co 2.63, 4 Sc 2.63

Total moment (μB/atom): 0.66
Mass density (g/cm3): 6.98
Electronic total energy (eV per atom): -6.44

Entry from OQMD via LeMat-Bulk: a relaxed Sc2CoGe2 crystal (GGA-PBE).

Lattice parameters (Å, degrees): 10.0414 4.0287 9.6139 90.00 118.37 90.00
Last column: nearest neighbours and their distance in Å.
Space group C2/m (No. 12)
Unique sites:
Sc (0.0045, 0.0000, 0.3324) (multiplicity 4)  6 Ge 2.75-2.91, 4 Co 2.87-3.03
Sc (0.1802, 0.0000, 0.1050) (multiplicity 4)  6 Ge 2.72-2.92
Co (0.2222, 0.5000, 0.3704) (multiplicity 4)  4 Ge 2.32-2.45
Ge (0.0203, 0.5000, 0.8737) (multiplicity 4)  1 Co 2.45, 1 Ge 2.65
Ge (0.1479, 0.5000, 0.5751) (multiplicity 4)  3 Co 2.32-2.41

Total moment (μB/atom): 0.00
Mass density (g/cm3): 5.71
Electronic total energy (eV per atom): -6.56

Entry from OQMD via LeMat-Bulk: a relaxed Sc2Co2Ge crystal (GGA-PBE).

Lattice parameters (Å, degrees): 3.6264 3.6264 12.3170 90.00 90.00 90.00
Last column: nearest neighbours and their distance in Å.
Space group I4/mmm (No. 139)
Unique sites:
Sc (0.0000, 0.0000, 0.1113) (multiplicity 4)  4 Co 2.49, 1 Sc 2.74
Co (0.0000, 0.5000, 0.2500) (multiplicity 4)  4 Sc 2.49, 4 Co 2.56
Ge (0.0000, 0.0000, 0.5000) (multiplicity 2)  8 Sc 2.91

Total moment (μB/atom): 0.20
Mass density (g/cm3): 5.75
Electronic total energy (eV per atom): -6.24

Entry from OQMD via LeMat-Bulk: a relaxed ScCo4Sn4Ge2 crystal (GGA-PBE).

Lattice parameters (Å, degrees): 6.3235 6.3235 9.5433 90.00 90.00 90.00
Last column: nearest neighbours and their distance in Å.
Space group I-42m (No. 121)
Unique sites:
Sc (0.0000, 0.0000, 0.0000) (multiplicity 2)  4 Co 2.90, 4 Ge 3.16, 4 Sn 3.17
Co (0.1837, 0.1837, 0.4346) (multiplicity 8)  2 Ge 2.40, 4 Sn 2.49-2.65, 2 Co 2.64
Sn (0.1729, 0.1729, 0.7106) (multiplicity 8)  4 Co 2.49-2.65
Ge (0.0000, 0.5000, 0.0000) (multiplicity 4)  4 Co 2.40

Total moment (μB/atom): 0.01
Mass density (g/cm3): 7.84
Electronic total energy (eV per atom): -5.72

Entry from OQMD via LeMat-Bulk: a relaxed ScTaCoGe crystal (GGA-PBE).

Lattice parameters (Å, degrees): 6.3423 6.3423 6.3423 90.00 90.00 90.00
Last column: nearest neighbours and their distance in Å.
Space group F-43m (No. 216)
Unique sites:
Sc (0.0000, 0.0000, 0.0000) (multiplicity 4)  4 Ta 2.75, 4 Co 2.75
Ta (0.2500, 0.2500, 0.2500) (multiplicity 4)  4 Ge 2.75, 4 Sc 2.75
Co (0.2500, 0.2500, 0.7500) (multiplicity 4)  4 Ge 2.75, 4 Sc 2.75
Ge (0.0000, 0.0000, 0.5000) (multiplicity 4)  4 Ta 2.75, 4 Co 2.75

Total moment (μB/atom): 0.73
Mass density (g/cm3): 9.31
Electronic total energy (eV per atom): -7.32

Entry from OQMD via LeMat-Bulk: a relaxed ScCoTcGe crystal (GGA-PBE).

Lattice parameters (Å, degrees): 6.2472 6.2472 6.2472 90.00 90.00 90.00
Last column: nearest neighbours and their distance in Å.
Space group F-43m (No. 216)
Unique sites:
Sc (0.0000, 0.0000, 0.0000) (multiplicity 4)  4 Tc 2.71, 4 Ge 2.71
Co (0.0000, 0.0000, 0.5000) (multiplicity 4)  4 Ge 2.71, 4 Tc 2.71
Tc (0.2500, 0.2500, 0.7500) (multiplicity 4)  4 Co 2.71, 4 Sc 2.71
Ge (0.2500, 0.2500, 0.2500) (multiplicity 4)  4 Sc 2.71, 4 Co 2.71

Total moment (μB/atom): 0.82
Mass density (g/cm3): 7.48
Electronic total energy (eV per atom): -7.06

Entry from OQMD via LeMat-Bulk: a relaxed ScCoTcGe crystal (GGA-PBE).

Lattice parameters (Å, degrees): 6.1229 6.1229 6.1229 90.00 90.00 90.00
Last column: nearest neighbours and their distance in Å.
Space group F-43m (No. 216)
Unique sites:
Sc (0.0000, 0.0000, 0.0000) (multiplicity 4)  4 Co 2.65, 4 Tc 2.65
Co (0.2500, 0.2500, 0.7500) (multiplicity 4)  4 Ge 2.65, 4 Sc 2.65
Tc (0.2500, 0.2500, 0.2500) (multiplicity 4)  4 Sc 2.65, 4 Ge 2.65
Ge (0.0000, 0.0000, 0.5000) (multiplicity 4)  4 Tc 2.65, 4 Co 2.65

Total moment (μB/atom): 0.01
Mass density (g/cm3): 7.94
Electronic total energy (eV per atom): -7.37

Entry from OQMD via LeMat-Bulk: a relaxed ScCoGeW crystal (GGA-PBE).

Lattice parameters (Å, degrees): 6.2098 6.2098 6.2098 90.00 90.00 90.00
Last column: nearest neighbours and their distance in Å.
Space group F-43m (No. 216)
Unique sites:
Sc (0.0000, 0.0000, 0.0000) (multiplicity 4)  4 Co 2.69, 4 W 2.69
Co (0.2500, 0.2500, 0.7500) (multiplicity 4)  4 Ge 2.69, 4 Sc 2.69
Ge (0.0000, 0.0000, 0.5000) (multiplicity 4)  4 W 2.69, 4 Co 2.69
W (0.2500, 0.2500, 0.2500) (multiplicity 4)  4 Ge 2.69, 4 Sc 2.69

Total moment (μB/atom): 0.34
Mass density (g/cm3): 10.00
Electronic total energy (eV per atom): -7.53